KTiHgBr2 | Alexandria via LeMat-Bulk | PBE | optimized geometry; energy = -2.98 eV per atom; formation energy without anion corrections = -0.457 eV per atom; magnetic moment = 2.3 μB per cell; space-group type = P4/mmm (123)
1.0
5.149 0.000 0.000
0.000 5.149 0.000
0.000 0.000 7.136
K Ti Hg Br
1 1 1 2
Cartesian
0.000 0.000 0.000
0.000 0.000 3.568
2.574 2.574 0.000
0.000 2.574 3.568
2.574 0.000 3.568

BaYBS4 | Alexandria via LeMat-Bulk | PBE | optimized geometry; energy = -6.04 eV per atom; formation energy without anion corrections = -1.532 eV per atom; magnetic moment = 0.0 μB per cell; space-group type = P2_1/m (11)
1.0
6.169 0.000 0.000
0.000 6.433 0.000
-2.620 0.000 7.955
Ba Y B S
2 2 2 8
Cartesian
0.224 1.608 3.388
3.324 4.825 4.567
-0.813 1.608 7.553
4.362 4.825 0.403
1.304 4.825 1.453
2.244 1.608 6.503
-0.241 4.825 2.670
-1.819 4.825 7.535
2.431 3.285 1.784
2.431 6.365 1.784
1.118 0.068 6.171
1.118 3.149 6.171
5.367 1.608 0.420
3.790 1.608 5.286

LaTcP4 | Alexandria via LeMat-Bulk | PBE | optimized geometry; energy = -5.88 eV per atom; energy of formation from the pure elements = 0.2800 eV per atom; magnetic moment = 2.4 μB per cell; space-group type = F-43m (216)
1.0
0.000 3.746 3.746
3.746 0.000 3.746
3.746 3.746 0.000
La Tc P
1 1 4
Cartesian
0.000 0.000 0.000
1.873 1.873 1.873
4.613 2.879 2.879
2.879 4.613 2.879
2.879 2.879 4.613
4.613 4.613 4.613

Ac2Al4HgAu3 | Alexandria via LeMat-Bulk | PBE | optimized geometry; energy = -3.98 eV per atom; energy of formation from the pure elements = -0.6503 eV per atom; magnetic moment = 0.0 μB per cell; space-group type = P-4m2 (115)
1.0
4.582 0.000 0.000
0.000 4.582 0.000
0.000 0.000 10.734
Ac Al Hg Au
2 4 1 3
Cartesian
0.000 2.291 2.676
2.291 0.000 8.058
0.000 0.000 0.000
0.000 2.291 6.836
2.291 0.000 3.898
2.291 2.291 0.000
0.000 0.000 5.367
0.000 2.291 9.414
2.291 0.000 1.320
2.291 2.291 5.367

HoCu3Rh4O12 | Alexandria via LeMat-Bulk | PBE | optimized geometry; energy = -6.31 eV per atom; formation energy without anion corrections = -1.020 eV per atom; magnetic moment = 0.0 μB per cell; space-group type = Im-3 (204)
1.0
-3.752 3.752 3.752
3.752 -3.752 3.752
3.752 3.752 -3.752
Ho Cu Rh O
1 3 4 12
Cartesian
0.000 0.000 0.000
3.752 0.000 0.000
0.000 3.752 0.000
0.000 0.000 3.752
1.876 1.876 -1.876
1.876 -1.876 1.876
-1.876 1.876 1.876
1.876 1.876 1.876
3.752 -1.491 2.537
2.261 1.214 0.000
5.242 1.214 0.000
2.537 3.752 -1.491
1.214 0.000 2.261
0.000 2.261 1.214
3.752 1.491 2.537
2.537 3.752 1.491
1.214 0.000 5.242
-1.491 2.537 3.752
1.491 2.537 3.752
0.000 5.242 1.214

Pm4Cd3Pt | Alexandria via LeMat-Bulk | PBE | optimized geometry; energy = -3.99 eV per atom; energy of formation from the pure elements = -0.5170 eV per atom; magnetic moment = 0.3 μB per cell; space-group type = P4/mmm (123)
1.0
3.746 0.000 0.000
0.000 3.746 0.000
0.000 0.000 15.225
Pm Cd Pt
4 3 1
Cartesian
0.000 0.000 1.657
0.000 0.000 5.635
0.000 0.000 9.590
0.000 0.000 13.567
1.873 1.873 3.712
1.873 1.873 7.612
1.873 1.873 11.513
1.873 1.873 0.000

Cu2HgTe2 | Alexandria via LeMat-Bulk | PBE | optimized geometry; energy = -2.73 eV per atom; formation energy without anion corrections = 0.222 eV per atom; magnetic moment = 0.0 μB per cell; space-group type = P4/mbm (127); excess energy over the best structure of this formula in the dataset = 0.2600 eV per atom
1.0
7.444 0.000 0.000
0.000 7.444 0.000
0.000 0.000 3.800
Cu Hg Te
4 2 4
Cartesian
0.904 2.818 0.000
2.818 6.540 0.000
4.626 0.904 0.000
6.540 4.626 0.000
0.000 0.000 0.000
3.722 3.722 0.000
1.254 4.976 1.900
2.468 1.254 1.900
4.976 6.191 1.900
6.191 2.468 1.900

Pu2MgNp | Alexandria via LeMat-Bulk | PBE | optimized geometry; energy = -10.18 eV per atom; energy of formation from the pure elements = 0.6242 eV per atom; magnetic moment = 18.8 μB per cell; space-group type = R-3m (166)
1.0
3.677 0.000 0.000
-1.838 3.184 0.000
0.000 0.000 27.106
Pu Mg Np
6 3 3
Cartesian
0.000 0.000 3.217
0.000 0.000 23.890
0.000 2.123 14.854
0.000 2.123 21.288
1.838 1.061 5.819
1.838 1.061 12.252
0.000 0.000 0.000
0.000 2.123 18.071
1.838 1.061 9.035
0.000 0.000 13.553
0.000 2.123 4.518
1.838 1.061 22.589

LaPmTe2O8 | Alexandria via LeMat-Bulk | PBE | optimized geometry; energy = -6.57 eV per atom; formation energy without anion corrections = -1.938 eV per atom; magnetic moment = 0.0 μB per cell; space-group type = I-4m2 (119)
1.0
-3.816 3.816 3.503
3.816 -3.816 3.503
3.816 3.816 -3.503
La Pm Te O
1 1 2 8
Cartesian
0.000 0.000 0.000
0.000 3.816 1.751
3.816 0.000 1.751
0.000 0.000 3.503
2.437 0.000 0.379
5.194 0.000 0.379
3.816 2.396 -1.339
3.816 -1.379 3.123
0.000 1.420 2.164
3.816 1.379 3.123
2.396 3.816 1.339
1.420 0.000 4.842

MgZrSc2 | Alexandria via LeMat-Bulk | PBE | optimized geometry; energy = -5.65 eV per atom; energy of formation from the pure elements = 0.0496 eV per atom; magnetic moment = 0.0 μB per cell; space-group type = Immm (71)
1.0
3.504 0.000 0.000
0.000 5.127 0.000
0.000 0.000 10.312
Mg Zr Sc
2 2 4
Cartesian
0.000 0.000 0.000
1.752 2.563 5.156
0.000 0.000 5.156
1.752 2.563 0.000
0.000 2.563 2.717
0.000 2.563 7.596
1.752 0.000 2.439
1.752 0.000 7.873

LiMo2SI | Alexandria via LeMat-Bulk | PBE | optimized geometry; energy = -5.36 eV per atom; formation energy without anion corrections = 0.489 eV per atom; magnetic moment = 1.4 μB per cell; space-group type = P4/mmm (123)
1.0
4.553 0.000 0.000
0.000 4.553 0.000
0.000 0.000 4.674
Li Mo S I
1 2 1 1
Cartesian
0.000 0.000 0.000
0.000 2.276 2.337
2.276 0.000 2.337
0.000 0.000 2.337
2.276 2.276 0.000

Ce4Tc2Sn | Alexandria via LeMat-Bulk | PBE | optimized geometry; energy = -7.16 eV per atom; energy of formation from the pure elements = -0.2309 eV per atom; magnetic moment = 2.5 μB per cell; space-group type = Cmcm (63); excess energy over the best structure of this formula in the dataset = 0.0000 eV per atom
1.0
2.274 -5.855 0.000
2.274 5.855 0.000
0.000 0.000 13.501
Ce Tc Sn
8 4 2
Cartesian
0.000 0.000 0.000
0.000 0.000 6.750
2.274 2.554 8.220
2.274 2.554 12.031
2.274 1.122 3.375
2.274 -1.122 10.126
2.274 -2.554 1.470
2.274 -2.554 5.281
2.274 1.209 0.811
2.274 1.209 5.940
2.274 -1.209 7.561
2.274 -1.209 12.690
2.274 4.639 3.375
2.274 -4.639 10.126

Mg3CoIr | Alexandria via LeMat-Bulk | PBE | optimized geometry; energy = -3.53 eV per atom; energy of formation from the pure elements = 0.6183 eV per atom; magnetic moment = 1.9 μB per cell; space-group type = Pm-3m (221); excess energy over the best structure of this formula in the dataset = 0.0000 eV per atom
1.0
4.899 0.000 0.000
0.000 4.899 0.000
0.000 0.000 4.899
Mg Co Ir
3 1 1
Cartesian
0.000 0.000 2.450
0.000 2.450 0.000
2.450 0.000 0.000
2.450 2.450 2.450
0.000 0.000 0.000

TbPrDyY | Alexandria via LeMat-Bulk | PBE | optimized geometry; energy = -5.00 eV per atom; energy of formation from the pure elements = 0.1232 eV per atom; magnetic moment = 0.0 μB per cell; space-group type = F-43m (216); excess energy over the best structure of this formula in the dataset = 0.1026 eV per atom
1.0
8.110 0.000 0.000
0.000 8.110 0.000
0.000 0.000 8.110
Tb Pr Dy Y
4 4 4 4
Cartesian
0.000 0.000 0.000
0.000 4.055 4.055
4.055 0.000 4.055
4.055 4.055 0.000
0.000 0.000 4.055
0.000 4.055 0.000
4.055 0.000 0.000
4.055 4.055 4.055
2.027 2.027 2.027
2.027 6.082 6.082
6.082 2.027 6.082
6.082 6.082 2.027
2.027 2.027 6.082
2.027 6.082 2.027
6.082 2.027 2.027
6.082 6.082 6.082

Li2NiSe | Alexandria via LeMat-Bulk | PBE | optimized geometry; energy = -3.78 eV per atom; formation energy without anion corrections = -0.503 eV per atom; magnetic moment = 0.0 μB per cell; space-group type = Amm2 (38)
1.0
4.249 0.000 0.000
0.000 4.146 0.000
0.000 0.000 8.110
Li Ni Se
4 2 2
Cartesian
0.000 0.000 0.000
0.000 2.073 4.055
2.124 0.000 2.390
2.124 2.073 6.446
2.124 0.000 4.949
2.124 2.073 0.894
0.000 0.000 5.548
0.000 2.073 1.493

RbTlNO2 | Alexandria via LeMat-Bulk | PBE | optimized geometry; energy = -3.16 eV per atom; formation energy without anion corrections = 1.156 eV per atom; magnetic moment = 5.0 μB per cell; space-group type = P4/mmm (123)
1.0
5.097 0.000 0.000
0.000 5.097 0.000
0.000 0.000 5.381
Rb Tl N O
1 1 1 2
Cartesian
0.000 0.000 0.000
2.548 2.548 2.691
0.000 0.000 2.691
0.000 2.548 0.000
2.548 0.000 0.000

Li8Mg4In | Alexandria via LeMat-Bulk | PBE | optimized geometry; energy = -1.93 eV per atom; energy of formation from the pure elements = -0.0517 eV per atom; magnetic moment = 0.0 μB per cell; space-group type = Pmm2 (25)
1.0
3.213 0.000 0.000
0.000 4.883 0.000
0.000 0.000 17.033
Li Mg In
8 4 1
Cartesian
0.000 0.000 0.000
0.000 0.000 4.367
0.000 2.441 7.353
0.000 2.441 12.802
1.607 0.000 2.250
1.607 0.000 11.916
1.607 2.441 4.579
1.607 2.441 10.030
0.000 0.000 9.388
0.000 2.441 1.825
1.607 0.000 6.750
1.607 2.441 15.802
0.000 0.000 14.321

CeDyLuPb | Alexandria via LeMat-Bulk | PBE | optimized geometry; energy = -4.71 eV per atom; energy of formation from the pure elements = -0.0230 eV per atom; magnetic moment = 5.1 μB per cell; space-group type = F-43m (216)
1.0
7.642 0.000 0.000
0.000 7.642 0.000
0.000 0.000 7.642
Ce Dy Lu Pb
4 4 4 4
Cartesian
0.000 0.000 0.000
0.000 3.821 3.821
3.821 0.000 3.821
3.821 3.821 0.000
1.910 1.910 1.910
1.910 5.731 5.731
5.731 1.910 5.731
5.731 5.731 1.910
1.910 1.910 5.731
1.910 5.731 1.910
5.731 1.910 1.910
5.731 5.731 5.731
0.000 0.000 3.821
0.000 3.821 0.000
3.821 0.000 0.000
3.821 3.821 3.821

FeRhW4 | Alexandria via LeMat-Bulk | PBE | optimized geometry; energy = -10.71 eV per atom; energy of formation from the pure elements = 0.5567 eV per atom; magnetic moment = 1.8 μB per cell; space-group type = F-43m (216)
1.0
0.000 3.669 3.669
3.669 0.000 3.669
3.669 3.669 0.000
Fe Rh W
1 1 4
Cartesian
0.000 0.000 0.000
1.835 1.835 1.835
4.594 2.744 2.744
2.744 4.594 2.744
2.744 2.744 4.594
4.594 4.594 4.594

CaSmDyMg | Alexandria via LeMat-Bulk | PBE | optimized geometry; energy = -3.24 eV per atom; energy of formation from the pure elements = -0.0117 eV per atom; magnetic moment = 0.0 μB per cell; space-group type = P4mm (99); excess energy over the best structure of this formula in the dataset = 0.0000 eV per atom
1.0
3.629 0.000 0.000
0.000 3.629 0.000
0.000 0.000 9.748
Ca Sm Dy Mg
1 1 1 1
Cartesian
0.000 0.000 0.000
1.815 1.815 6.879
0.000 0.000 4.469
1.815 1.815 2.329

TlFe2Tc | Alexandria via LeMat-Bulk | PBE | optimized geometry; energy = -6.79 eV per atom; energy of formation from the pure elements = 0.6197 eV per atom; magnetic moment = 15.3 μB per cell; space-group type = R-3m (166); excess energy over the best structure of this formula in the dataset = 0.2035 eV per atom
1.0
2.907 0.000 0.000
-1.453 2.517 0.000
0.000 0.000 25.933
Tl Fe Tc
3 6 3
Cartesian
0.000 0.000 0.000
0.000 1.678 17.289
1.453 0.839 8.644
0.000 0.000 6.274
0.000 0.000 19.659
0.000 1.678 11.014
0.000 1.678 23.563
1.453 0.839 2.370
1.453 0.839 14.919
0.000 0.000 12.967
0.000 1.678 4.322
1.453 0.839 21.611

CdMoCl | Alexandria via LeMat-Bulk | PBE | optimized geometry; energy = -3.64 eV per atom; formation energy without anion corrections = 0.887 eV per atom; magnetic moment = 18.8 μB per cell; space-group type = F-43m (216); excess energy over the best structure of this formula in the dataset = 0.8646 eV per atom
1.0
6.832 0.000 0.000
0.000 6.832 0.000
0.000 0.000 6.832
Cd Mo Cl
4 4 4
Cartesian
0.000 0.000 0.000
0.000 3.416 3.416
3.416 0.000 3.416
3.416 3.416 0.000
1.708 1.708 5.124
1.708 5.124 1.708
5.124 1.708 1.708
5.124 5.124 5.124
0.000 0.000 3.416
0.000 3.416 0.000
3.416 0.000 0.000
3.416 3.416 3.416

La3MnC3 | Alexandria via LeMat-Bulk | PBE | optimized geometry; energy = -7.50 eV per atom; energy of formation from the pure elements = -0.1214 eV per atom; magnetic moment = 0.0 μB per cell; space-group type = P2_1/m (11)
1.0
6.956 0.000 0.000
0.000 5.506 0.000
-1.385 0.000 6.834
La Mn C
6 2 6
Cartesian
0.118 1.377 2.229
2.148 4.130 0.560
1.856 4.130 4.181
3.715 1.377 2.654
3.422 1.377 6.275
5.452 4.130 4.606
0.305 1.377 5.446
5.265 4.130 1.389
-0.084 4.130 2.197
2.158 1.377 0.346
1.726 1.377 4.287
3.844 4.130 2.547
3.413 4.130 6.488
5.654 1.377 4.637

TbTh2Rh9 | Alexandria via LeMat-Bulk | PBE | optimized geometry; energy = -7.74 eV per atom; energy of formation from the pure elements = -0.6056 eV per atom; magnetic moment = 0.0 μB per cell; space-group type = R-3m (166)
1.0
2.646 1.527 8.928
-2.646 1.527 8.928
0.000 -3.055 8.928
Tb Th Rh
1 2 9
Cartesian
0.000 0.000 0.000
0.000 0.000 3.675
0.000 0.000 23.108
-1.329 -0.767 11.122
0.000 0.000 8.917
0.000 -1.535 15.661
-1.329 0.767 15.661
0.000 0.000 13.391
1.329 -0.767 11.122
0.000 1.535 11.122
0.000 0.000 17.866
1.329 0.767 15.661

CaHgOF2 | Alexandria via LeMat-Bulk | PBE | optimized geometry; energy = -3.82 eV per atom; formation energy without anion corrections = -1.622 eV per atom; magnetic moment = 0.0 μB per cell; space-group type = P4/mmm (123); excess energy over the best structure of this formula in the dataset = 0.2527 eV per atom
1.0
4.597 0.000 0.000
0.000 4.597 0.000
0.000 0.000 4.258
Ca Hg O F
1 1 1 2
Cartesian
0.000 0.000 0.000
2.299 2.299 2.129
2.299 2.299 0.000
0.000 2.299 2.129
2.299 0.000 2.129